First-principles (PBE) data for a relaxed structure of TeMoSe2N, as listed in Alexandria.

a b c (Å): 5.391 5.391 3.902
angles (deg): 90.00 90.00 90.00
Space group P4/mmm (No. 123)
One atom of each set of equivalent atoms:
Te 0.000 0.000 0.000 [1 per cell]
Mo 0.500 0.500 0.500 [1 per cell]
Se 0.000 0.500 0.000 [2 per cell]
N 0.000 0.000 0.500 [1 per cell]

Output
energy relative to the elements, uncorrected	6.7	eV per formula unit
size of the total moment	3.7	μB/cell
raw total energy	-4.52	eV per atom